Compound: Fe2TeSe
Source: the Alexandria database
Functional: PBE-GGA
Structure: optimized geometry

Cell: 3.262 3.911 6.216 Å, 90.00 97.81 90.00°
Space group P2/m (No. 10)
Asymmetric unit:
Fe1 0.170 0.000 0.340 [2 per cell]
Te1 0.000 0.500 0.000 [1 per cell]
Se1 0.500 0.500 0.500 [1 per cell]

Values from the calculation:
Its uncorrected formation energy is 340.4 meV per atom. The volume comes out at 19.64 Å³ per atom.